Material: Pr4Nd3Dy8
Method: DFT, PBE
State: relaxed

Unit cell a=13.5646 b=12.9441 c=6.8427 alpha=90.00 beta=120.24 gamma=90.00
Closest atoms and distances in Å follow each position.
Space group C2/m (No. 12)
Symmetry-distinct sites (fractional):
Pr (0.0000, 0.0000, 0.0000)  6 Dy 3.34-3.55, 2 Pr 3.42
Pr (0.0000, 0.0000, 0.5000)  2 Pr 3.42, 4 Dy 3.61-3.63
Pr (0.2500, 0.2500, 0.0000)  4 Dy 3.25-3.39, 2 Nd 3.42
Nd (0.0000, 0.5000, 0.0000)  6 Dy 3.14-3.25
Nd (0.2500, 0.2500, 0.5000)  4 Dy 3.24-3.40, 2 Pr 3.42
Dy (0.0000, 0.2577, 0.0000)  3 Nd 3.14-3.40, 3 Pr 3.34-3.39
Dy (0.0000, 0.3601, 0.5000)  7 Dy 3.62-3.67, 4 Nd 3.68-3.87, 2 Pr 3.68
Dy (0.2314, 0.5000, 0.4916)  3 Nd 3.24-3.25, 2 Dy 3.27-3.58, 2 Pr 3.55-3.61
Dy (0.2307, 0.5000, 0.9682)  1 Nd 3.24, 4 Pr 3.25-3.63, 2 Dy 3.27-3.58

## Properties
**Energy of formation**: 0.348 eV per atom